DFT (PBE) results for an optimized crystal structure of LiMn2B.

Cell lengths 3.296, 3.296, 15.597 Å; angles 90.00, 90.00, 90.00 degrees
Space group I-42d (No. 122)
Asymmetric unit:
Li (0.000, 0.000, 0.000) x4
Mn (0.192, 0.750, 0.625) x8
B (0.000, 0.000, 0.500) x4

Properties
Fermi-level density of states = 13.6 states/eV per cell
Total magnetic moment = 0.00 μB per formula unit
Energy of formation = 0.6817 eV/atom